Record 1
This record from Alexandria describes a relaxed structure of SrZnCd2O4. The functional is GGA-PBE.

```
SrZnCd2O4
1.0
3.382 0.000 0.000
-1.691 5.747 0.000
0.000 0.000 11.803
Sr Zn Cd O
2 2 4 8
Cartesian
0.000 1.407 8.852
1.691 4.340 2.951
1.691 4.124 8.852
0.000 1.623 2.951
0.000 4.248 6.362
1.691 1.499 0.461
1.691 1.499 5.440
0.000 4.248 11.342
0.000 2.976 1.470
1.691 2.771 7.372
1.691 2.771 10.332
0.000 2.976 4.431
0.000 0.000 5.901
0.000 0.000 0.000
0.000 5.203 8.852
1.691 0.544 2.951
```

formation energy without anion corrections	-1.499	eV/atom
VASP energy	-36.61	eV per formula unit
crystal system	orthorhombic
spin magnetization	0.0	μB/f.u.
symmetry	Cmcm, No. 63

=====

Record 2
This record from Alexandria describes a relaxed structure of RbLi2Ag2. The functional is GGA-PBE.

```
RbLi2Ag2
1.0
-2.427 3.815 7.318
-7.229 -4.661 0.032
1.457 -2.249 1.656
Rb Ag Li
2 4 4
Cartesian
0.000 0.000 0.000
-4.828 -0.423 3.675
-4.439 -3.591 2.026
-6.942 -2.515 5.690
-3.760 0.496 6.979
-1.257 -0.580 3.315
-7.287 -2.652 2.811
-6.616 0.470 6.462
-2.369 1.806 4.538
-3.040 -1.316 0.888
```

energy relative to the lowest polymorph listed for this composition	0.010	eV per atom
VASP energy	-10.47	eV per formula unit
formation energy	6	meV per atom
crystal system	tetragonal
spin magnetization	0.0	μB/f.u.
symmetry	P4/mbm, No. 127

=====

Record 3
This record from Alexandria describes a relaxed structure of KTmMnBr6. The functional is GGA-PBE.

```
KTmMnBr6
1.0
-0.885 5.486 -3.972
-2.201 -6.119 -2.089
-13.240 2.552 6.477
K Tm Mn Br
2 2 2 12
Cartesian
0.000 0.000 0.000
-6.620 1.276 3.238
-5.073 -1.613 -1.097
-11.254 3.532 1.513
-4.634 2.256 -1.725
-11.692 -0.337 2.141
-3.906 0.133 -2.904
-3.605 3.560 -3.640
-11.042 -2.365 0.767
-12.721 -1.641 4.057
-5.766 0.820 0.032
-6.880 2.439 -2.885
-13.965 -0.379 1.017
-5.285 4.284 -0.350
-9.446 -0.521 3.302
-2.362 2.298 -0.601
-10.561 1.099 0.384
-12.421 1.786 3.321
```

formation energy without anion corrections	-1.223	eV/atom
VASP energy	-35.79	eV per formula unit
crystal system	trigonal
spin magnetization	0.9	μB/f.u.
symmetry	P-31c, No. 163